No. 1
This record from Alexandria via LeMat-Bulk describes LaZrTi2 after structural relaxation. The functional is PBE-GGA.

Values from the calculation:
Crystal system = tetragonal
Formation energy = 250 kJ/mol of formula units
Energy = -6.6687 eV/atom
Space-group type = I-42d, No. 122
DOS(E_F) = 12.5 states/eV per cell

abc: 6.3098 6.3098 6.3098
angles: 103.24 103.24 122.83
Fractional coordinates of all 8 atoms:
La1 0.0000 0.0000 0.0000
La2 0.7500 0.2500 0.5000
Zr1 0.2500 0.7500 0.5000
Zr2 0.5000 0.5000 0.0000
Ti1 0.1348 0.6250 0.0098
Ti2 0.3750 0.3848 0.5098
Ti3 0.6152 0.1250 0.9902
Ti4 0.8750 0.8652 0.4902

---

No. 2
This record from Alexandria via LeMat-Bulk describes La3ZrTi after structural relaxation. The functional is PBE-GGA.

Values from the calculation:
Crystal system = cubic
Formation energy = 456 kJ/mol of formula units
Energy = -5.2997 eV/atom
Energy above the most stable polymorph in this dataset = 188.4 meV/atom
Space-group type = Pm-3m, No. 221
DOS(E_F) = 13.0 states/eV per cell

abc: 5.6704 5.6704 5.6704
angles: 90.00 90.00 90.00
Fractional coordinates of all 5 atoms:
La1 0.0000 0.0000 0.5000
La2 0.0000 0.5000 0.0000
La3 0.5000 0.0000 0.0000
Zr1 0.0000 0.0000 0.0000
Ti1 0.5000 0.5000 0.5000

---

No. 3
This record from Alexandria via LeMat-Bulk describes LaZr2Ti after structural relaxation. The functional is PBE-GGA.

Values from the calculation:
Crystal system = tetragonal
Formation energy = 60 kJ/mol of formula units
Energy = -7.3237 eV/atom
Energy above the most stable polymorph in this dataset = 0.0 meV/atom
Space-group type = P4/mmm, No. 123
DOS(E_F) = 6.3 states/eV per cell

abc: 3.6239 3.6239 7.5023
angles: 90.00 90.00 90.00
Fractional coordinates of all 4 atoms:
La1 0.0000 0.0000 0.0000
Zr1 0.5000 0.5000 0.3028
Zr2 0.5000 0.5000 0.6972
Ti1 0.0000 0.0000 0.5000

---

No. 4
This record from Alexandria via LeMat-Bulk describes La3ZrTi after structural relaxation. The functional is PBE-GGA.

Values from the calculation:
Crystal system = cubic
Formation energy = 365 kJ/mol of formula units
Energy = -5.4881 eV/atom
Energy above the most stable polymorph in this dataset = 0.0 meV/atom
Space-group type = Pm-3m, No. 221
DOS(E_F) = 7.1 states/eV per cell

abc: 5.5236 5.5236 5.5236
angles: 90.00 90.00 90.00
Fractional coordinates of all 5 atoms:
La1 0.0000 0.0000 0.5000
La2 0.0000 0.5000 0.0000
La3 0.5000 0.0000 0.0000
Zr1 0.5000 0.5000 0.5000
Ti1 0.0000 0.0000 0.0000